<P>
The following is a PBE calculation of a relaxed Th2GaPd crystal, from Alexandria via LeMat-Bulk.

Results
Crystal system   cubic
Symmetry   Fm-3m (225)
Density of states at the Fermi level   3.83 states/eV/cell

Structure (CIF):
```
data_Th2GaPd
_space_group_name_H-M_alt 'P 1'
_space_group_IT_number 1
_space_group_name_Hall 'P 1'
_cell_length_a 5.1847
_cell_length_b 5.1847
_cell_length_c 5.1847
_cell_angle_alpha 60.00
_cell_angle_beta 60.00
_cell_angle_gamma 60.00
loop_
_atom_site_label
_atom_site_fract_x
_atom_site_fract_y
_atom_site_fract_z
Th1 0.2500 0.2500 0.2500
Th2 0.7500 0.7500 0.7500
Ga1 0.0000 0.0000 0.0000
Pd1 0.5000 0.5000 0.5000
```

<Q>
The following is a PBE calculation of a relaxed Th2GaPd crystal, from Alexandria via LeMat-Bulk.

Results
Crystal system   orthorhombic
Symmetry   Amm2 (38)
Density of states at the Fermi level   4.58 states/eV/cell

Structure (CIF):
```
data_Th2GaPd
_space_group_name_H-M_alt 'P 1'
_space_group_IT_number 1
_space_group_name_Hall 'P 1'
_cell_length_a 4.3221
_cell_length_b 5.9886
_cell_length_c 5.9886
_cell_angle_alpha 40.21
_cell_angle_beta 90.00
_cell_angle_gamma 90.00
loop_
_atom_site_label
_atom_site_fract_x
_atom_site_fract_y
_atom_site_fract_z
Th1 0.0000 0.0000 0.0000
Th2 0.5000 0.2928 0.2928
Ga1 0.0000 0.7197 0.7197
Pd1 0.5000 0.5729 0.5729
```

<Q> is preferred energetically. Next in line: 137 meV/atom higher.